PRh5: optimized geometry, PBE.

Results
ΔH_f (0 K) in kJ/mol of formula units: -6
DOS(E_F) in states/eV/f.u.: 9.442

Lattice parameters (Å, degrees): 4.7108 4.7108 4.3363 90.00 90.00 120.00
With the nearest neighbours (Å) after each atom.
Space group P-62m (No. 189)
Asymmetric unit:
1 P 0.0000 0.0000 0.0000 x1  12 Rh 2.67-2.72
2 Rh 0.0000 0.6680 0.5000 x3  2 P 2.67, 10 Rh 2.68-2.73
3 Rh 0.3333 0.6667 0.0000 x2  9 Rh 2.68-2.72, 3 P 2.72

***

Zr2Br: optimized geometry, PBE.

Results
DOS(E_F) in states/eV/f.u.: 2.571
Energy relative to the elements, uncorrected in eV/f.u.: -0.39

Lattice parameters (Å, degrees): 5.4692 16.3503 3.2153 90.00 90.00 90.00
With the nearest neighbours (Å) after each atom.
Space group Cmcm (No. 63)
Asymmetric unit:
1 Zr 0.0000 0.1051 0.2500 x4  4 Zr 3.05-3.22, 4 Br 3.18
2 Zr 0.0000 0.2640 0.7500 x4  2 Br 2.86, 2 Zr 3.05
3 Br 0.0000 0.4088 0.2500 x4  6 Zr 2.86-3.18

***

Cr5H: optimized geometry, PBE.

Results
VASP energy in eV/cell: -98.134
DOS(E_F) in states/eV/f.u.: 6.796

Lattice parameters (Å, degrees): 4.4303 10.2840 2.7567 90.00 90.00 90.00
With the nearest neighbours (Å) after each atom.
Space group Cmmm (No. 65)
Asymmetric unit:
1 Cr 0.0000 0.0000 0.0000 x2  8 Cr 2.38-2.53, 4 H 2.61
2 Cr 0.0000 0.1889 0.5000 x4  6 Cr 2.38-2.55
3 Cr 0.0000 0.3817 0.0000 x4  2 H 1.84
4 H 0.0000 0.5000 0.5000 x2  4 Cr 1.84

***

TlTcBr2: optimized geometry, PBE.

Results
DOS(E_F) in states/eV/f.u.: 1.988
Energy relative to the elements, uncorrected in eV/f.u.: 1.39

Lattice parameters (Å, degrees): 3.3209 3.3209 8.7531 90.00 90.00 90.00
With the nearest neighbours (Å) after each atom.
Space group P4mm (No. 99)
Asymmetric unit:
1 Tl 0.0000 0.0000 0.0000 x1  4 Br 3.11, 4 Tl 3.32, 4 Tc 3.32
2 Tc 0.5000 0.5000 0.7316 x1  4 Br 2.61
3 Br 0.0000 0.0000 0.6011 x1  4 Tc 2.61
4 Br 0.5000 0.5000 0.2336 x1  4 Tl 3.11, 4 Br 3.32

***

Al2HgRh: optimized geometry, PBE.

Results
ΔH_f (0 K) in kJ/mol of formula units: -96
DOS(E_F) in states/eV/f.u.: 2.114

Lattice parameters (Å, degrees): 8.6986 3.0483 5.0852 90.00 100.39 90.00
With the nearest neighbours (Å) after each atom.
Space group C2/m (No. 12)
Asymmetric unit:
1 Al 0.2358 0.0000 0.2130 x4  3 Rh 2.63-2.71, 2 Al 2.70, 3 Hg 2.72-2.92
2 Hg 0.0000 0.0000 0.5000 x2  6 Al 2.72-2.92, 4 Rh 2.96, 2 Hg 3.05
3 Rh 0.0000 0.5000 0.0000 x2  6 Al 2.63-2.71

***

NiAg3Mo: optimized geometry, PBE.

Results
ΔH_f (0 K) in kJ/mol of formula units: 965
DOS(E_F) in states/eV/f.u.: 9.750

Lattice parameters (Å, degrees): 5.0374 5.0374 5.0374 90.00 90.00 90.00
With the nearest neighbours (Å) after each atom.
Space group Pm-3m (No. 221)
Asymmetric unit:
1 Ni 0.0000 0.0000 0.0000 x1  12 Ag 3.56
2 Ag 0.0000 0.5000 0.5000 x3  2 Mo 2.52
3 Mo 0.5000 0.5000 0.5000 x1  6 Ag 2.52

***

NiTe6Pd2: optimized geometry, PBE.

Results
DOS(E_F) in states/eV/f.u.: 4.392
Energy relative to the elements, uncorrected in eV/f.u.: -2.24

Lattice parameters (Å, degrees): 11.7012 4.0669 11.8208 90.00 118.64 90.00
With the nearest neighbours (Å) after each atom.
Space group C2/m (No. 12)
Asymmetric unit:
1 Ni 0.0000 0.0000 0.0000 x2  6 Te 2.56-2.64
2 Te 0.0598 0.5000 0.8962 x4  2 Ni 2.64, 1 Pd 2.70
3 Te 0.1071 0.0000 0.4478 x4  3 Pd 2.71-2.73
4 Te 0.2186 0.0000 0.2082 x4  1 Ni 2.56, 2 Pd 2.73
5 Pd 0.1650 0.5000 0.3292 x4  6 Te 2.70-2.73

***

PrGa3Pt3: optimized geometry, PBE.

Results
ΔH_f (0 K) in kJ/mol of formula units: -507
DOS(E_F) in states/eV/f.u.: 1.664

Lattice parameters (Å, degrees): 6.8902 6.8902 19.6364 90.00 90.00 120.00
With the nearest neighbours (Å) after each atom.
Space group R-3 (No. 148, hexagonal axes)
Asymmetric unit:
1 Pr 0.0000 0.0000 0.1604 x6  6 Pt 3.02-3.21, 6 Ga 3.20
2 Ga 0.0245 0.4195 0.3770 x18  4 Pt 2.55-2.61, 2 Ga 2.81
3 Pt 0.0091 0.2428 0.5805 x18  4 Ga 2.55-2.61, 2 Pt 2.84

***

What is the formula in the first record?
PRh5

***

DOS(E_F) of number 1 (PRh5)?
9.442 states/eV/f.u.

***

Which of these has the highest DOS(E_F)?
NiAg3Mo

***

Which formula does entry 6 have?
NiAg3Mo